#i
{"formula": "Tm2HfNi", "functional": "PBE", "state": "optimized geometry", "lattice": [[3.351, 0.000, 0.000], [0.000, 3.351, 0.000], [0.000, 0.000, 7.828]], "species": ["Tm", "Tm", "Hf", "Ni"], "fractional_positions": [[0.000, 0.000, 0.208], [0.000, 0.000, 0.792], [0.500, 0.500, 0.500], [0.500, 0.500, 0.000]]}


#ii
{"formula": "Tm2HfNi", "functional": "PBE", "state": "optimized geometry", "lattice": [[3.287, 0.000, 0.000], [-1.644, 2.847, 0.000], [0.000, 0.000, 30.428]], "species": ["Tm", "Tm", "Tm", "Tm", "Tm", "Tm", "Hf", "Hf", "Hf", "Ni", "Ni", "Ni"], "fractional_positions": [[0.000, 0.000, 0.104], [0.000, 0.000, 0.896], [0.333, 0.667, 0.562], [0.333, 0.667, 0.771], [0.667, 0.333, 0.229], [0.667, 0.333, 0.438], [0.000, 0.000, 0.000], [0.333, 0.667, 0.667], [0.667, 0.333, 0.333], [0.000, 0.000, 0.500], [0.333, 0.667, 0.167], [0.667, 0.333, 0.833]]}


Which of them is the least stable? Correct choice: #ii.


#i
{"formula": "HfNi2W", "functional": "PBE", "state": "optimized geometry", "lattice": [[6.851, 0.000, 0.000], [0.000, 6.851, 0.000], [0.000, 0.000, 5.346]], "species": ["Hf", "Hf", "Hf", "Hf", "Ni", "Ni", "Ni", "Ni", "Ni", "Ni", "Ni", "Ni", "W", "W", "W", "W"], "fractional_positions": [[0.000, 0.000, 0.000], [0.000, 0.500, 0.250], [0.500, 0.000, 0.750], [0.500, 0.500, 0.500], [0.230, 0.250, 0.625], [0.250, 0.730, 0.875], [0.250, 0.770, 0.375], [0.270, 0.250, 0.125], [0.730, 0.750, 0.125], [0.750, 0.230, 0.375], [0.750, 0.270, 0.875], [0.770, 0.750, 0.625], [0.000, 0.000, 0.500], [0.000, 0.500, 0.750], [0.500, 0.000, 0.250], [0.500, 0.500, 0.000]]}


#ii
{"formula": "HfNi2W", "functional": "PBE", "state": "optimized geometry", "lattice": [[6.172, 0.000, 0.000], [0.000, 6.172, 0.000], [0.000, 0.000, 6.172]], "species": ["Hf", "Hf", "Hf", "Hf", "Ni", "Ni", "Ni", "Ni", "Ni", "Ni", "Ni", "Ni", "W", "W", "W", "W"], "fractional_positions": [[0.000, 0.000, 0.000], [0.000, 0.500, 0.500], [0.500, 0.000, 0.500], [0.500, 0.500, 0.000], [0.250, 0.250, 0.250], [0.250, 0.250, 0.750], [0.250, 0.750, 0.250], [0.250, 0.750, 0.750], [0.750, 0.250, 0.250], [0.750, 0.250, 0.750], [0.750, 0.750, 0.250], [0.750, 0.750, 0.750], [0.000, 0.000, 0.500], [0.000, 0.500, 0.000], [0.500, 0.000, 0.000], [0.500, 0.500, 0.500]]}


Which of them is the least stable? Correct choice: #i.